Record 1
The following is a PBE-GGA calculation of a relaxed structure of Dy2TlCu, from the Alexandria database.

The calculation puts the volume at 26.60 Å³/atom. For the calculated density, the calculation gives 9.26 Mg/m³. For the formation energy, the calculation gives -136 meV per atom.

It has space group R-3m (No. 166, hexagonal axes), with a = 3.7979 Å, b = 3.7979 Å, c = 25.5483 Å, α = 90.00°, β = 90.00° and γ = 120.00°. Symmetry generates all atoms from Dy at (0.0000, 0.0000, 0.2376), Tl at (0.0000, 0.0000, 0.0000) and Cu at (0.0000, 0.0000, 0.5000).

---

Record 2
The following is a PBE-GGA calculation of a relaxed structure of K2BaAg2I6, from the Alexandria database.

The calculation puts the volume at 47.35 Å³/atom. For the calculated density, the calculation gives 3.80 Mg/m³. The calculation puts the uncorrected formation energy at -1.063 eV per atom.

It has space group C2/m (No. 12), with a = 15.133 Å, b = 8.980 Å, c = 8.729 Å, α = 90.00°, β = 118.59° and γ = 90.00°. Symmetry generates all atoms from K at (0.240, 0.000, 0.177), Ba at (0.000, 0.000, 0.500), Ag at (0.047, 0.500, 0.200), I at (0.077, 0.254, 0.840) and I at (0.247, 0.000, 0.584).